# PBE Y2ScAl, optimized geometry
# Uncorrected energy, eV for the cell shown: -47.31
# ΔH_f (0 K), eV per atom: -0.163
data_Y2ScAl
_chemical_formula_sum 'Y4 Sc2 Al2'
_symmetry_space_group_name_H-M 'I 4/m m m'
_symmetry_Int_Tables_number 139
_symmetry_space_group_name_Hall '-I 4 2'
_cell_length_a 4.636
_cell_length_b 4.636
_cell_length_c 9.438
_cell_angle_alpha 90.00
_cell_angle_beta 90.00
_cell_angle_gamma 90.00
loop_
_atom_site_label
_atom_site_type_symbol
_atom_site_fract_x
_atom_site_fract_y
_atom_site_fract_z
Y1 Y 0.000 0.500 0.250
Sc1 Sc 0.000 0.000 0.000
Al1 Al 0.000 0.000 0.500

# PBE CsK2TeO4, optimized geometry
# Uncorrected energy, eV for the cell shown: -141.90
# ΔE_f (raw), eV per formula unit: -9.452
data_CsK2TeO4
_chemical_formula_sum 'Cs4 K8 Te4 O16'
_symmetry_space_group_name_H-M 'I m m a'
_symmetry_Int_Tables_number 74
_symmetry_space_group_name_Hall '-I 2b 2'
_cell_length_a 7.955
_cell_length_b 9.182
_cell_length_c 9.233
_cell_angle_alpha 90.00
_cell_angle_beta 90.00
_cell_angle_gamma 90.00
loop_
_atom_site_label
_atom_site_type_symbol
_atom_site_fract_x
_atom_site_fract_y
_atom_site_fract_z
Cs1 Cs 0.000 0.000 0.000
K1 K 0.000 0.000 0.500
K2 K 0.250 0.250 0.250
Te1 Te 0.250 0.250 0.750
O1 O 0.228 0.250 0.539
O2 O 0.250 0.037 0.750

# PBE BaAs, optimized geometry
# Uncorrected energy, eV for the cell shown: -32.58
# ΔH_f (0 K), eV per atom: -0.787
data_BaAs
_chemical_formula_sum 'Ba4 As4'
_symmetry_space_group_name_H-M 'C m c m'
_symmetry_Int_Tables_number 63
_symmetry_space_group_name_Hall '-C 2c 2'
_cell_length_a 3.527
_cell_length_b 12.786
_cell_length_c 5.865
_cell_angle_alpha 90.00
_cell_angle_beta 90.00
_cell_angle_gamma 90.00
loop_
_atom_site_label
_atom_site_type_symbol
_atom_site_fract_x
_atom_site_fract_y
_atom_site_fract_z
Ba1 Ba 0.000 0.118 0.250
As1 As 0.000 0.380 0.250

Please write out number 1 again, unchanged.
# PBE Y2ScAl, optimized geometry
# Uncorrected energy, eV for the cell shown: -47.31
# ΔH_f (0 K), eV per atom: -0.163
data_Y2ScAl
_chemical_formula_sum 'Y4 Sc2 Al2'
_symmetry_space_group_name_H-M 'I 4/m m m'
_symmetry_Int_Tables_number 139
_symmetry_space_group_name_Hall '-I 4 2'
_cell_length_a 4.636
_cell_length_b 4.636
_cell_length_c 9.438
_cell_angle_alpha 90.00
_cell_angle_beta 90.00
_cell_angle_gamma 90.00
loop_
_atom_site_label
_atom_site_type_symbol
_atom_site_fract_x
_atom_site_fract_y
_atom_site_fract_z
Y1 Y 0.000 0.500 0.250
Sc1 Sc 0.000 0.000 0.000
Al1 Al 0.000 0.000 0.500